Record 1
DFT (PBE) results for a relaxed Cd4SiSb crystal. Values from VASP.

The structure in Quantum ESPRESSO input format:
```
&SYSTEM
  ibrav = 0, nat = 6, ntyp = 3
/
ATOMIC_SPECIES
Cd 112.41 Cd.upf
Si 28.09 Si.upf
Sb 121.76 Sb.upf
CELL_PARAMETERS angstrom
0.0000 4.1253 4.1253
4.1253 0.0000 4.1253
4.1253 4.1253 0.0000
ATOMIC_POSITIONS angstrom
Cd 3.0904 5.1603 5.1603
Cd 5.1603 5.1603 3.0904
Cd 5.1603 3.0904 5.1603
Cd 3.0904 3.0904 3.0904
Si 0.0000 0.0000 0.0000
Sb 6.1880 6.1880 6.1880
```

Properties
Space-group type   F-43m (216)
V   140.41 Å³/cell
Density of states at the Fermi level   0.426 states/eV/atom
E_form (uncorrected)   0.362 eV per atom
M_tot   0.00 μB/f.u.

Record 2
DFT (PBE) results for a relaxed CdSiSb2 crystal. Values from VASP.

The structure in Quantum ESPRESSO input format:
```
&SYSTEM
  ibrav = 0, nat = 4, ntyp = 3
/
ATOMIC_SPECIES
Cd 112.41 Cd.upf
Sb 121.76 Sb.upf
Si 28.09 Si.upf
CELL_PARAMETERS angstrom
3.9810 0.0000 0.0000
0.0000 3.0334 -0.0162
0.0000 -1.7501 8.3751
ATOMIC_POSITIONS angstrom
Cd 1.9905 0.9625 6.2691
Sb 0.0000 0.2977 0.1543
Sb 0.0000 0.3440 4.0251
Si 1.9905 0.3208 2.0897
```

Properties
Space-group type   P2/m (10)
V   101.02 Å³/cell
Density of states at the Fermi level   0.380 states/eV/atom
E_form (uncorrected)   0.223 eV per atom
M_tot   0.00 μB/f.u.

Record 3
DFT (PBE) results for a relaxed CdSi2Sb crystal. Values from VASP.

The structure in Quantum ESPRESSO input format:
```
&SYSTEM
  ibrav = 0, nat = 4, ntyp = 3
/
ATOMIC_SPECIES
Cd 112.41 Cd.upf
Sb 121.76 Sb.upf
Si 28.09 Si.upf
CELL_PARAMETERS angstrom
-3.0858 1.3391 -1.9828
-0.1988 -2.5733 -1.4285
-4.5474 -2.6017 5.3198
ATOMIC_POSITIONS angstrom
Cd -2.7295 -0.6242 -0.0186
Sb -5.1026 -3.2117 1.9270
Si -0.2189 -1.9700 -0.9898
Si -2.3530 -3.1909 1.5069
```

Properties
Space-group type   Pmmm (47)
V   86.01 Å³/cell
Density of states at the Fermi level   0.266 states/eV/atom
Excess energy over the best structure of this formula in the dataset   184 meV/atom
E_form (uncorrected)   0.430 eV per atom
M_tot   0.00 μB/f.u.